(1)
A plane-wave DFT calculation with GGA-PBEsol was carried out for a geometry-optimized KTaRh structure.

The calculated volume comes out at 60 Å³/f.u. The value obtained for the calculated formation energy is 1.6 eV/f.u.

a b c (Å): 2.959 2.959 7.909
angles (deg): 90.00 90.00 120.00
Sites, in units of the cell vectors:
Rh1 0.333 0.667 0.635
Ta1 0.667 0.333 0.386
K1 0.000 0.000 0.979

---

(2)
A plane-wave DFT calculation with GGA-PBEsol was carried out for a geometry-optimized KTaRh structure.

The calculated volume comes out at 65 Å³/f.u. The value obtained for the calculated formation energy is 4.1 eV/f.u.

a b c (Å): 4.523 4.523 4.523
angles (deg): 60.00 60.00 60.00
Sites, in units of the cell vectors:
Ta1 0.000 0.000 0.000
Rh1 0.750 0.750 0.750
K1 0.500 0.500 0.500

---

(3)
A plane-wave DFT calculation with GGA-PBEsol was carried out for a geometry-optimized KTaRh structure.

The calculated volume comes out at 60 Å³/f.u. The value obtained for the calculated formation energy is 7.5 eV/f.u.

a b c (Å): 4.388 4.388 4.388
angles (deg): 60.00 60.00 60.00
Sites, in units of the cell vectors:
Ta1 0.500 0.500 0.500
K1 0.750 0.750 0.750
Rh1 0.000 0.000 0.000

---

(4)
A plane-wave DFT calculation with GGA-PBEsol was carried out for a geometry-optimized K2TcRh structure.

The calculated volume comes out at 76 Å³/f.u. The value obtained for the calculated formation energy is 4.6 eV/f.u.

a b c (Å): 2.792 2.792 11.427
angles (deg): 82.98 82.98 60.00
Sites, in units of the cell vectors:
K1 0.247 0.247 0.260
Tc1 0.000 0.000 0.000
K2 0.753 0.753 0.740
Rh1 0.500 0.500 0.500

---

(5)
A plane-wave DFT calculation with GGA-PBEsol was carried out for a geometry-optimized K2TcRh structure.

The calculated volume comes out at 109 Å³/f.u. The value obtained for the calculated formation energy is 2.5 eV/f.u.

a b c (Å): 2.795 3.868 10.063
angles (deg): 90.00 91.45 90.00
Sites, in units of the cell vectors:
Tc1 0.494 0.500 0.335
K1 0.530 0.500 0.659
K2 0.974 0.000 0.086
Rh1 0.002 0.000 0.419

---

(6)
A plane-wave DFT calculation with GGA-PBEsol was carried out for a geometry-optimized K2TiRh structure.

The calculated volume comes out at 103 Å³/f.u. The value obtained for the calculated formation energy is 5.9 eV/f.u.

a b c (Å): 5.265 5.265 5.265
angles (deg): 60.00 60.00 60.00
Sites, in units of the cell vectors:
K1 0.750 0.750 0.750
Rh1 0.500 0.500 0.500
Ti1 0.000 0.000 0.000
K2 0.250 0.250 0.250

---

(7)
A plane-wave DFT calculation with GGA-PBEsol was carried out for a geometry-optimized KTlRh2 structure.

The calculated volume comes out at 77 Å³/f.u. The value obtained for the calculated formation energy is 2.3 eV/f.u.

a b c (Å): 3.064 3.064 9.625
angles (deg): 80.84 80.84 60.00
Sites, in units of the cell vectors:
Rh1 0.760 0.760 0.719
Rh2 0.240 0.240 0.281
K1 0.000 0.000 0.000
Tl1 0.500 0.500 0.500

---

(8)
A plane-wave DFT calculation with GGA-PBEsol was carried out for a geometry-optimized KTlRh2 structure.

The calculated volume comes out at 73 Å³/f.u. The value obtained for the calculated formation energy is 2.6 eV/f.u.

a b c (Å): 4.692 4.692 4.692
angles (deg): 60.00 60.00 60.00
Sites, in units of the cell vectors:
Rh1 0.750 0.750 0.750
Rh2 0.250 0.250 0.250
Tl1 0.500 0.500 0.500
K1 0.000 0.000 0.000

---

(9)
A plane-wave DFT calculation with GGA-PBEsol was carried out for a geometry-optimized K2TlRh structure.

The calculated volume comes out at 99 Å³/f.u. The value obtained for the calculated formation energy is 1.7 eV/f.u.

a b c (Å): 5.186 5.186 5.186
angles (deg): 60.00 60.00 60.00
Sites, in units of the cell vectors:
Rh1 0.500 0.500 0.500
K1 0.750 0.750 0.750
K2 0.000 0.000 0.000
Tl1 0.250 0.250 0.250

---

(10)
A plane-wave DFT calculation with GGA-PBEsol was carried out for a geometry-optimized KTlRh2 structure.

The calculated volume comes out at 77 Å³/f.u. The value obtained for the calculated formation energy is 2.7 eV/f.u.

a b c (Å): 3.080 5.206 5.697
angles (deg): 117.19 105.68 90.00
Sites, in units of the cell vectors:
K1 0.000 0.500 0.000
Rh1 0.773 0.773 0.545
Rh2 0.227 0.227 0.455
Tl1 0.500 0.000 0.000

---

(11)
A plane-wave DFT calculation with GGA-PBEsol was carried out for a geometry-optimized K2TlRh structure.

The calculated volume comes out at 111 Å³/f.u. The value obtained for the calculated formation energy is 2.7 eV/f.u.

a b c (Å): 5.390 5.390 5.390
angles (deg): 60.00 60.00 60.00
Sites, in units of the cell vectors:
K1 0.250 0.250 0.250
K2 0.750 0.750 0.750
Rh1 0.000 0.000 0.000
Tl1 0.500 0.500 0.500

---

(12)
A plane-wave DFT calculation with GGA-PBEsol was carried out for a geometry-optimized K2TlRh structure.

The calculated volume comes out at 137 Å³/f.u. The value obtained for the calculated formation energy is 0.8 eV/f.u.

a b c (Å): 3.738 3.738 9.833
angles (deg): 90.00 90.00 90.00
Sites, in units of the cell vectors:
Rh1 0.000 0.000 0.606
K1 0.500 0.500 0.326
Tl1 0.500 0.500 0.648
K2 0.000 0.000 0.920